1.
Below is a relaxed structure of Pt2AuSe, with properties calculated at the PBE-GGA level.

Summary:
- Crystal system: cubic
- Formation energy (no corrections): 0.3091 eV per atom

Structure (CIF):
```
data_Pt2AuSe
_cell_length_a 6.504
_cell_length_b 6.504
_cell_length_c 6.504
_cell_angle_alpha 90.00
_cell_angle_beta 90.00
_cell_angle_gamma 90.00
_space_group_name_H-M_alt 'F -4 3 m'
_space_group_IT_number 216
_space_group_name_Hall 'F -4 2 3'
loop_
_atom_site_label
_atom_site_type_symbol
_atom_site_fract_x
_atom_site_fract_y
_atom_site_fract_z
Pt1 Pt 0.000 0.000 0.000
Pt2 Pt 0.250 0.250 0.250
Au1 Au 0.000 0.000 0.500
Se1 Se 0.250 0.250 0.750
```

2.
Below is a relaxed structure of Sm4Y8Mg, with properties calculated at the PBE-GGA level.

Summary:
- Crystal system: cubic
- Final energy: -65.2 eV per cell

Structure (CIF):
```
data_Sm4Y8Mg
_cell_length_a 7.773
_cell_length_b 7.773
_cell_length_c 7.773
_cell_angle_alpha 90.00
_cell_angle_beta 90.00
_cell_angle_gamma 90.00
_space_group_name_H-M_alt 'P m -3 m'
_space_group_IT_number 221
_space_group_name_Hall '-P 4 2 3'
loop_
_atom_site_label
_atom_site_type_symbol
_atom_site_fract_x
_atom_site_fract_y
_atom_site_fract_z
Sm1 Sm 0.000 0.000 0.000
Sm2 Sm 0.000 0.500 0.500
Y1 Y 0.244 0.244 0.244
Mg1 Mg 0.500 0.500 0.500
```

3.
Below is a relaxed structure of Li2Mg3Sn2, with properties calculated at the PBE-GGA level.

Summary:
- Crystal system: monoclinic
- Relative energy among the computed polymorphs: 0 meV per atom

Structure (CIF):
```
data_Li2Mg3Sn2
_cell_length_a 8.248
_cell_length_b 4.756
_cell_length_c 8.254
_cell_angle_alpha 90.00
_cell_angle_beta 109.52
_cell_angle_gamma 90.00
_space_group_name_H-M_alt 'C 1 2/m 1'
_space_group_IT_number 12
_space_group_name_Hall '-C 2y'
loop_
_atom_site_label
_atom_site_type_symbol
_atom_site_fract_x
_atom_site_fract_y
_atom_site_fract_z
Li1 Li 0.116 0.000 0.347
Mg1 Mg 0.000 0.500 0.500
Mg2 Mg 0.131 0.500 0.892
Sn1 Sn 0.242 0.000 0.728
```

4.
Below is a relaxed structure of Mg6GaAg, with properties calculated at the PBE-GGA level.

Summary:
- Crystal system: tetragonal
- Relative energy among the computed polymorphs: 0 meV per atom

Structure (CIF):
```
data_Mg6GaAg
_cell_length_a 4.571
_cell_length_b 4.571
_cell_length_c 16.017
_cell_angle_alpha 90.00
_cell_angle_beta 90.00
_cell_angle_gamma 90.00
_space_group_name_H-M_alt 'I 4/m m m'
_space_group_IT_number 139
_space_group_name_Hall '-I 4 2'
loop_
_atom_site_label
_atom_site_type_symbol
_atom_site_fract_x
_atom_site_fract_y
_atom_site_fract_z
Mg1 Mg 0.000 0.000 0.250
Mg2 Mg 0.000 0.500 0.111
Ga1 Ga 0.000 0.000 0.000
Ag1 Ag 0.000 0.000 0.500
```

5.
Below is a relaxed structure of Ac3TlIn2, with properties calculated at the PBE-GGA level.

Summary:
- Crystal system: orthorhombic
- Final energy: -45.1 eV per cell

Structure (CIF):
```
data_Ac3TlIn2
_cell_length_a 5.844
_cell_length_b 17.522
_cell_length_c 4.092
_cell_angle_alpha 90.00
_cell_angle_beta 90.00
_cell_angle_gamma 90.00
_space_group_name_H-M_alt 'C m m m'
_space_group_IT_number 65
_space_group_name_Hall '-C 2 2'
loop_
_atom_site_label
_atom_site_type_symbol
_atom_site_fract_x
_atom_site_fract_y
_atom_site_fract_z
Ac1 Ac 0.000 0.000 0.000
Ac2 Ac 0.000 0.332 0.000
Tl1 Tl 0.000 0.500 0.500
In1 In 0.000 0.166 0.500
```

6.
Below is a relaxed structure of Ac6Os2Br3F, with properties calculated at the PBE-GGA level.

Summary:
- Crystal system: monoclinic
- Formation energy (no corrections): -1.1577 eV per atom

Structure (CIF):
```
data_Ac6Os2Br3F
_cell_length_a 7.436
_cell_length_b 12.931
_cell_length_c 8.687
_cell_angle_alpha 90.00
_cell_angle_beta 106.64
_cell_angle_gamma 90.00
_space_group_name_H-M_alt 'C 1 2/m 1'
_space_group_IT_number 12
_space_group_name_Hall '-C 2y'
loop_
_atom_site_label
_atom_site_type_symbol
_atom_site_fract_x
_atom_site_fract_y
_atom_site_fract_z
Ac1 Ac 0.221 0.000 0.194
Ac2 Ac 0.237 0.328 0.195
Os1 Os 0.000 0.166 0.000
Br1 Br 0.000 0.000 0.500
Br2 Br 0.000 0.325 0.500
F1 F 0.000 0.500 0.000
```

7.
Below is a relaxed structure of Mn2GeHN, with properties calculated at the PBE-GGA level.

Summary:
- Crystal system: orthorhombic
- Relative energy among the computed polymorphs: 28 meV per atom

Structure (CIF):
```
data_Mn2GeHN
_cell_length_a 2.788
_cell_length_b 3.810
_cell_length_c 4.767
_cell_angle_alpha 90.00
_cell_angle_beta 90.00
_cell_angle_gamma 90.00
_space_group_name_H-M_alt 'P m m 2'
_space_group_IT_number 25
_space_group_name_Hall 'P 2 -2'
loop_
_atom_site_label
_atom_site_type_symbol
_atom_site_fract_x
_atom_site_fract_y
_atom_site_fract_z
Mn1 Mn 0.000 0.000 0.000
Mn2 Mn 0.500 0.500 0.229
Ge1 Ge 0.000 0.500 0.679
H1 H 0.000 0.000 0.669
N1 N 0.500 0.000 0.246
```

8.
Below is a relaxed structure of Tb6PrNd2Er3, with properties calculated at the PBE-GGA level.

Summary:
- Crystal system: monoclinic
- Final energy: -111.1 eV per cell

Structure (CIF):
```
data_Tb6PrNd2Er3
_cell_length_a 6.205
_cell_length_b 10.743
_cell_length_c 11.857
_cell_angle_alpha 90.00
_cell_angle_beta 100.02
_cell_angle_gamma 90.00
_space_group_name_H-M_alt 'C 1 2/m 1'
_space_group_IT_number 12
_space_group_name_Hall '-C 2y'
loop_
_atom_site_label
_atom_site_type_symbol
_atom_site_fract_x
_atom_site_fract_y
_atom_site_fract_z
Tb1 Tb 0.247 0.167 0.245
Tb2 Tb 0.248 0.500 0.245
Pr1 Pr 0.000 0.500 0.500
Nd1 Nd 0.000 0.167 0.500
Er1 Er 0.000 0.000 0.000
Er2 Er 0.000 0.333 0.000
```

9.
Below is a relaxed structure of SiTc2P, with properties calculated at the PBE-GGA level.

Summary:
- Crystal system: monoclinic
- Relative energy among the computed polymorphs: 275 meV per atom
- Formation energy (no corrections): -0.2275 eV per atom

Structure (CIF):
```
data_SiTc2P
_cell_length_a 7.863
_cell_length_b 2.939
_cell_length_c 4.934
_cell_angle_alpha 90.00
_cell_angle_beta 104.83
_cell_angle_gamma 90.00
_space_group_name_H-M_alt 'C 1 2/m 1'
_space_group_IT_number 12
_space_group_name_Hall '-C 2y'
loop_
_atom_site_label
_atom_site_type_symbol
_atom_site_fract_x
_atom_site_fract_y
_atom_site_fract_z
Si1 Si 0.000 0.000 0.000
Tc1 Tc 0.227 0.000 0.733
P1 P 0.000 0.500 0.500
```

10.
Below is a relaxed structure of CdReCl4, with properties calculated at the PBE-GGA level.

Summary:
- Crystal system: cubic
- Formation energy (no corrections): 1.1862 eV per atom

Structure (CIF):
```
data_CdReCl4
_cell_length_a 8.332
_cell_length_b 8.332
_cell_length_c 8.332
_cell_angle_alpha 90.00
_cell_angle_beta 90.00
_cell_angle_gamma 90.00
_space_group_name_H-M_alt 'F -4 3 m'
_space_group_IT_number 216
_space_group_name_Hall 'F -4 2 3'
loop_
_atom_site_label
_atom_site_type_symbol
_atom_site_fract_x
_atom_site_fract_y
_atom_site_fract_z
Cd1 Cd 0.000 0.000 0.000
Re1 Re 0.250 0.250 0.250
Cl1 Cl 0.124 0.124 0.624
```

11.
Below is a relaxed structure of BaP2S2, with properties calculated at the PBE-GGA level.

Summary:
- Crystal system: tetragonal
- Relative energy among the computed polymorphs: 1774 meV per atom
- Formation energy (no corrections): 1.2930 eV per atom

Structure (CIF):
```
data_BaP2S2
_cell_length_a 6.142
_cell_length_b 6.142
_cell_length_c 7.047
_cell_angle_alpha 90.00
_cell_angle_beta 90.00
_cell_angle_gamma 90.00
_space_group_name_H-M_alt 'P 4/m m m'
_space_group_IT_number 123
_space_group_name_Hall '-P 4 2'
loop_
_atom_site_label
_atom_site_type_symbol
_atom_site_fract_x
_atom_site_fract_y
_atom_site_fract_z
Ba1 Ba 0.000 0.000 0.000
P1 P 0.000 0.000 0.500
P2 P 0.500 0.500 0.500
S1 S 0.000 0.500 0.000
```

12.
Below is a relaxed structure of Y7Sn5Sb, with properties calculated at the PBE-GGA level.

Summary:
- Crystal system: orthorhombic
- Formation energy (no corrections): -0.5375 eV per atom

Structure (CIF):
```
data_Y7Sn5Sb
_cell_length_a 6.212
_cell_length_b 11.314
_cell_length_c 10.608
_cell_angle_alpha 90.00
_cell_angle_beta 90.00
_cell_angle_gamma 90.00
_space_group_name_H-M_alt 'I m m 2'
_space_group_IT_number 44
_space_group_name_Hall 'I 2 -2'
loop_
_atom_site_label
_atom_site_type_symbol
_atom_site_fract_x
_atom_site_fract_y
_atom_site_fract_z
Y1 Y 0.000 0.000 0.000
Y2 Y 0.000 0.000 0.406
Y3 Y 0.000 0.331 0.621
Y4 Y 0.000 0.338 0.107
Y5 Y 0.000 0.500 0.358
Sn1 Sn 0.000 0.500 0.860
Sn2 Sn 0.248 0.256 0.366
Sb1 Sb 0.000 0.000 0.691
```